[1]
The following is a PBE calculation of BeZnCSO after structural relaxation, from the Alexandria database.

Properties
Calculated volume (Å³/atom): 15.91
Distance to the lowest polymorph of the same formula (eV per atom): 0.1545
Energy relative to the elements, uncorrected (eV per atom): -0.36

a = 3.390 Å, b = 6.922 Å, c = 6.922 Å
α = 29.31°, β = 90.00°, γ = 90.00°
Fractional coordinates of all 5 atoms:
Be 0.000 0.000 0.000
Zn 0.500 0.709 0.709
C 0.000 0.793 0.793
S 0.500 0.082 0.082
O 0.000 0.888 0.888



[2]
The following is a PBE calculation of Ga2TcCN after structural relaxation, from the Alexandria database.

Properties
Calculated volume (Å³/atom): 18.46
Energy relative to the elements, uncorrected (eV per atom): 1.48

a = 4.957 Å, b = 4.957 Å, c = 3.755 Å
α = 90.00°, β = 90.00°, γ = 90.00°
Fractional coordinates of all 5 atoms:
Ga 0.000 0.500 0.000
Ga 0.500 0.000 0.000
Tc 0.000 0.000 0.000
C 0.500 0.500 0.500
N 0.000 0.000 0.500



[3]
The following is a PBE calculation of Dy3Ho3In after structural relaxation, from the Alexandria database.

Properties
Energy relative to the elements (meV per atom): -12
Calculated volume (Å³/atom): 30.95
Distance to the lowest polymorph of the same formula (eV per atom): 0.0992

a = 13.176 Å, b = 5.175 Å, c = 12.712 Å
α = 90.00°, β = 90.00°, γ = 90.00°
Fractional coordinates of all 28 atoms:
Dy 0.015 0.250 0.066
Dy 0.055 0.250 0.570
Dy 0.225 0.750 0.445
Dy 0.275 0.250 0.945
Dy 0.445 0.750 0.070
Dy 0.485 0.750 0.566
Dy 0.515 0.250 0.434
Dy 0.555 0.250 0.930
Dy 0.725 0.750 0.055
Dy 0.775 0.250 0.555
Dy 0.945 0.750 0.430
Dy 0.985 0.750 0.934
Ho 0.085 0.250 0.308
Ho 0.174 0.750 0.732
Ho 0.186 0.750 0.132
Ho 0.314 0.250 0.632
Ho 0.326 0.250 0.232
Ho 0.415 0.750 0.808
Ho 0.585 0.250 0.192
Ho 0.674 0.750 0.768
Ho 0.686 0.750 0.368
Ho 0.814 0.250 0.868
Ho 0.826 0.250 0.268
Ho 0.915 0.750 0.692
In 0.054 0.250 0.814
In 0.446 0.750 0.314
In 0.554 0.250 0.686
In 0.946 0.750 0.186



[4]
The following is a PBE calculation of Sr2Sn2Pd after structural relaxation, from the Alexandria database.

Properties
Energy relative to the elements (meV per atom): -713
Calculated volume (Å³/atom): 29.34
Distance to the lowest polymorph of the same formula (eV per atom): 0.0000

a = 6.330 Å, b = 6.330 Å, c = 11.722 Å
α = 115.46°, β = 115.46°, γ = 44.89°
Fractional coordinates of all 10 atoms:
Sr 0.003 0.003 0.330
Sr 0.188 0.188 0.113
Sr 0.812 0.812 0.887
Sr 0.997 0.997 0.670
Sn 0.343 0.343 0.444
Sn 0.487 0.487 0.120
Sn 0.513 0.513 0.880
Sn 0.657 0.657 0.556
Pd 0.277 0.277 0.651
Pd 0.723 0.723 0.349



[5]
The following is a PBE calculation of Er2ScBe after structural relaxation, from the Alexandria database.

Properties
Energy relative to the elements (meV per atom): 64
Calculated volume (Å³/atom): 23.47
Distance to the lowest polymorph of the same formula (eV per atom): 0.0000

a = 3.388 Å, b = 3.388 Å, c = 8.176 Å
α = 90.00°, β = 90.00°, γ = 90.00°
Fractional coordinates of all 4 atoms:
Er 0.000 0.000 0.202
Er 0.000 0.000 0.798
Sc 0.500 0.500 0.500
Be 0.500 0.500 0.000



[6]
The following is a PBE calculation of TbPuTe2H after structural relaxation, from the Alexandria database.

Properties
Calculated volume (Å³/atom): 24.55
Uncorrected energy (eV for the cell shown): -67.601

a = 4.255 Å, b = 4.255 Å, c = 13.562 Å
α = 90.00°, β = 90.00°, γ = 90.00°
Fractional coordinates of all 10 atoms:
Tb 0.250 0.250 0.099
Tb 0.750 0.750 0.901
Pu 0.250 0.250 0.575
Pu 0.750 0.750 0.425
Te 0.250 0.250 0.333
Te 0.250 0.250 0.868
Te 0.750 0.750 0.132
Te 0.750 0.750 0.667
H 0.250 0.750 0.500
H 0.750 0.250 0.500



[7]
The following is a PBE calculation of Nd4MgIn12 after structural relaxation, from the Alexandria database.

Properties
Energy relative to the elements (meV per atom): -389
Calculated volume (Å³/atom): 26.26

a = 8.339 Å, b = 8.339 Å, c = 8.339 Å
α = 109.47°, β = 109.47°, γ = 109.47°
Fractional coordinates of all 17 atoms:
Nd 0.000 0.000 0.500
Nd 0.000 0.500 0.000
Nd 0.500 0.000 0.000
Nd 0.500 0.500 0.500
Mg 0.000 0.000 0.000
In 0.000 0.296 0.296
In 0.000 0.704 0.704
In 0.250 0.500 0.750
In 0.250 0.750 0.500
In 0.296 0.000 0.296
In 0.296 0.296 0.000
In 0.500 0.250 0.750
In 0.500 0.750 0.250
In 0.704 0.000 0.704
In 0.704 0.704 0.000
In 0.750 0.250 0.500
In 0.750 0.500 0.250



[8]
The following is a PBE calculation of EuY2Ga after structural relaxation, from the Alexandria database.

Properties
Energy relative to the elements (meV per atom): -72
Calculated volume (Å³/atom): 27.65
Distance to the lowest polymorph of the same formula (eV per atom): 0.1818

a = 5.388 Å, b = 5.388 Å, c = 5.388 Å
α = 60.00°, β = 60.00°, γ = 60.00°
Fractional coordinates of all 4 atoms:
Eu 0.000 0.000 0.000
Y 0.250 0.250 0.250
Y 0.750 0.750 0.750
Ga 0.500 0.500 0.500